VASP calculation (GGA+U) on a relaxed structure of VCuSe2O7.

Structure (POSCAR):
```
VCuSe2O7
1.0
-0.057 -8.974 0.090
1.975 -0.093 -8.081
8.658 -0.051 0.413
O Se V Cu
28 8 4 4
direct
0.406 0.446 0.112 O
0.601 0.227 0.776 O
0.893 0.854 0.469 O
0.393 0.820 0.613 O
0.908 0.579 0.067 O
0.313 0.722 0.920 O
0.594 0.554 0.888 O
0.107 0.146 0.531 O
0.592 0.579 0.567 O
0.094 0.446 0.612 O
0.408 0.421 0.433 O
0.399 0.773 0.224 O
0.893 0.180 0.887 O
0.187 0.722 0.420 O
0.655 0.589 0.222 O
0.092 0.421 0.933 O
0.107 0.820 0.113 O
0.101 0.773 0.724 O
0.906 0.554 0.388 O
0.813 0.278 0.580 O
0.607 0.854 0.969 O
0.155 0.411 0.278 O
0.687 0.278 0.080 O
0.899 0.227 0.276 O
0.845 0.589 0.722 O
0.393 0.146 0.031 O
0.607 0.180 0.387 O
0.345 0.411 0.778 O
0.830 0.671 0.215 Se
0.170 0.329 0.785 Se
0.768 0.132 0.754 Se
0.232 0.868 0.246 Se
0.732 0.132 0.254 Se
0.330 0.329 0.285 Se
0.268 0.868 0.746 Se
0.670 0.671 0.715 Se
0.993 0.693 0.550 V
0.007 0.307 0.450 V
0.493 0.307 0.950 V
0.507 0.693 0.050 V
0.381 0.630 0.511 Cu
0.619 0.370 0.489 Cu
0.119 0.630 0.011 Cu
0.881 0.370 0.989 Cu
```

Results
total DFT energy (no corrections)	-5.876	eV per atom